[1]
The following is a PBE-GGA calculation of a relaxed YHo3Ru crystal, from Alexandria.

a = 7.5878 Å, b = 6.3671 Å, c = 6.1831 Å
α = 90.00°, β = 90.00°, γ = 90.00°
Last column: nearest neighbours and their distance in Å.
Space group Pmn2_1 (No. 31)
Asymmetric unit:
Y: 0.0000 0.1546 0.0000 [2 per cell]  1 Ru 2.72
Ho: 0.0000 0.8430 0.4907 [2 per cell]  1 Ru 2.68
Ho: 0.2495 0.3215 0.4956 [4 per cell]  2 Ru 2.70
Ru: 0.0000 0.5023 0.7445 [2 per cell]  5 Ho 2.68-2.70, 1 Y 2.72

Properties
- Calculated density: 7.613 g cm⁻³
- E_form: -0.145 eV per atom
- Magnetization: 0.00 μB per cell
- Total DFT energy (no corrections): -60.4 eV/cell
- Density of states at the Fermi level: 5.9 states/eV/f.u.


[2]
The following is a PBE-GGA calculation of a relaxed Bi3PtAu crystal, from Alexandria.

a = 5.4147 Å, b = 5.4147 Å, c = 5.4147 Å
α = 90.00°, β = 90.00°, γ = 90.00°
Last column: nearest neighbours and their distance in Å.
Space group Pm-3m (No. 221)
Asymmetric unit:
Bi: 0.0000 0.0000 0.5000 [3 per cell]  2 Pt 2.71
Pt: 0.0000 0.0000 0.0000 [1 per cell]  6 Bi 2.71
Au: 0.5000 0.5000 0.5000 [1 per cell]  12 Bi 3.83

Properties
- Calculated density: 10.659 g cm⁻³
- E_form: 0.453 eV per atom
- Magnetization: 0.00 μB per cell
- Total DFT energy (no corrections): -18.7 eV/cell
- Density of states at the Fermi level: 2.6 states/eV/f.u.


[3]
The following is a PBE-GGA calculation of a relaxed CeErCoHg crystal, from Alexandria.

a = 7.1586 Å, b = 7.1586 Å, c = 7.1586 Å
α = 90.00°, β = 90.00°, γ = 90.00°
Last column: nearest neighbours and their distance in Å.
Space group F-43m (No. 216)
Asymmetric unit:
Ce: 0.0000 0.0000 0.0000 [4 per cell]  4 Hg 3.10, 4 Co 3.10
Er: 0.0000 0.0000 0.5000 [4 per cell]  4 Co 3.10, 4 Hg 3.10
Co: 0.2500 0.2500 0.2500 [4 per cell]  4 Ce 3.10, 4 Er 3.10
Hg: 0.2500 0.2500 0.7500 [4 per cell]  4 Ce 3.10, 4 Er 3.10

Properties
- Calculated density: 10.264 g cm⁻³
- E_form: -0.132 eV per atom
- Magnetization: 0.48 μB per cell
- Total DFT energy (no corrections): -73.7 eV/cell
- Density of states at the Fermi level: 6.6 states/eV/f.u.


[4]
The following is a PBE-GGA calculation of a relaxed Ho2ZnTe crystal, from Alexandria.

a = 3.8897 Å, b = 3.8897 Å, c = 29.9157 Å
α = 90.00°, β = 90.00°, γ = 120.00°
Last column: nearest neighbours and their distance in Å.
Space group R-3m (No. 166, hexagonal axes)
Asymmetric unit:
Ho: 0.0000 0.0000 0.0990 [6 per cell]  1 Zn 2.96, 3 Te 3.02
Zn: 0.0000 0.0000 0.0000 [3 per cell]  2 Ho 2.96
Te: 0.0000 0.0000 0.5000 [3 per cell]  6 Ho 3.02

Properties
- Calculated density: 6.645 g cm⁻³
- Magnetization: 0.00 μB per cell
- Total DFT energy (no corrections): -42.9 eV/cell
- ΔE_f (raw): -178.2 meV/atom
- Density of states at the Fermi level: 3.7 states/eV/f.u.


[5]
The following is a PBE-GGA calculation of a relaxed TmCd2B2Rh5 crystal, from Alexandria.

a = 9.8815 Å, b = 9.8815 Å, c = 3.0187 Å
α = 90.00°, β = 90.00°, γ = 90.00°
Last column: nearest neighbours and their distance in Å.
Space group P4/mbm (No. 127)
Asymmetric unit:
Tm: 0.0000 0.0000 0.0000 [2 per cell]  8 Rh 2.81, 2 Tm 3.02
Cd: 0.1796 0.3204 0.0000 [4 per cell]  3 B 2.79-3.02, 10 Rh 2.93-3.02, 2 Cd 3.02
B: 0.1205 0.6205 0.0000 [4 per cell]  6 Rh 2.17-2.26
Rh: 0.0000 0.5000 0.5000 [2 per cell]  4 B 2.26
Rh: 0.0691 0.7701 0.5000 [8 per cell]  2 B 2.17

Properties
- Calculated density: 10.477 g cm⁻³
- E_form: -0.378 eV per atom
- Magnetization: 0.00 μB per cell
- Total DFT energy (no corrections): -120.4 eV/cell
- Density of states at the Fermi level: 2.8 states/eV/f.u.


[6]
The following is a PBE-GGA calculation of a relaxed ScCr3Rh crystal, from Alexandria.

a = 4.4920 Å, b = 4.4920 Å, c = 4.4920 Å
α = 90.00°, β = 90.00°, γ = 90.00°
Last column: nearest neighbours and their distance in Å.
Space group Pm-3m (No. 221)
Asymmetric unit:
Sc: 0.0000 0.0000 0.0000 [1 per cell]  12 Cr 3.18
Cr: 0.0000 0.5000 0.5000 [3 per cell]  2 Rh 2.25
Rh: 0.5000 0.5000 0.5000 [1 per cell]  6 Cr 2.25

Properties
- Calculated density: 5.567 g cm⁻³
- E_form: 1.208 eV per atom
- Magnetization: 0.00 μB per cell
- Total DFT energy (no corrections): -36.5 eV/cell
- Density of states at the Fermi level: 14.7 states/eV/f.u.


[7]
The following is a PBE-GGA calculation of a relaxed AlOsF2 crystal, from Alexandria.

a = 2.7335 Å, b = 2.7335 Å, c = 28.5649 Å
α = 90.00°, β = 90.00°, γ = 120.00°
Last column: nearest neighbours and their distance in Å.
Space group R-3m (No. 166, hexagonal axes)
Asymmetric unit:
Al: 0.0000 0.0000 0.0000 [3 per cell]  2 F 1.68
Os: 0.0000 0.0000 0.5000 [3 per cell]  6 Os 2.73
F: 0.0000 0.0000 0.0589 [6 per cell]  1 Al 1.68

Properties
- Calculated density: 6.878 g cm⁻³
- Magnetization: 3.81 μB per cell
- Total DFT energy (no corrections): -65.0 eV/cell
- ΔE_f (raw): -734.5 meV/atom
- Density of states at the Fermi level: 3.9 states/eV/f.u.


[8]
The following is a PBE-GGA calculation of a relaxed Ac2TeI crystal, from Alexandria.

a = 4.0852 Å, b = 4.0852 Å, c = 8.1520 Å
α = 90.00°, β = 90.00°, γ = 90.00°
Last column: nearest neighbours and their distance in Å.
Space group P4/mmm (No. 123)
Asymmetric unit:
Ac: 0.0000 0.0000 0.2399 [2 per cell]  4 Te 3.49, 4 I 3.58
Te: 0.5000 0.5000 0.0000 [1 per cell]  8 Ac 3.49
I: 0.5000 0.5000 0.5000 [1 per cell]  8 Ac 3.58

Properties
- Calculated density: 8.648 g cm⁻³
- Magnetization: 0.00 μB per cell
- Total DFT energy (no corrections): -17.4 eV/cell
- ΔE_f (raw): -1130.0 meV/atom
- Density of states at the Fermi level: 3.1 states/eV/f.u.